P:
An optimized crystal structure of La4FeAs4Ru3O4. Source: Alexandria via LeMat-Bulk, functional GGA+U.

Geometry as POSCAR:
```
La4FeAs4Ru3O4
1.0
-1.619 -2.209 3.098
-2.276 -2.136 -2.712
12.840 -11.650 -1.597
La Fe As Ru O
4 1 4 3 4
direct
0.500 0.000 0.185
0.000 0.500 0.815
0.500 0.000 0.677
0.000 0.500 0.323
0.500 0.500 0.000
0.500 0.000 0.918
0.000 0.500 0.082
0.500 0.000 0.425
0.000 0.500 0.575
0.500 0.500 0.500
0.000 0.000 0.000
0.000 0.000 0.500
0.500 0.500 0.747
0.500 0.500 0.253
0.000 0.000 0.747
0.000 0.000 0.253
```

Properties
spin magnetization: 3.6 μB/f.u.
space group: P-4m2 (115)



Q:
An optimized crystal structure of La4FeAs4Ru3O4. Source: Alexandria via LeMat-Bulk, functional GGA+U.

Geometry as POSCAR:
```
La4FeAs4Ru3O4
1.0
5.821 0.000 0.000
0.000 5.821 0.000
0.000 0.000 8.778
La Fe As Ru O
4 1 4 3 4
direct
0.249 0.751 0.862
0.751 0.249 0.862
0.249 0.249 0.138
0.751 0.751 0.138
0.500 0.500 0.500
0.239 0.761 0.342
0.761 0.239 0.342
0.239 0.239 0.658
0.761 0.761 0.658
0.000 0.000 0.500
0.500 0.000 0.500
0.000 0.500 0.500
0.500 0.500 0.000
0.000 0.000 0.000
0.000 0.500 0.000
0.500 0.000 0.000
```

Properties
spin magnetization: 2.3 μB/f.u.
space group: P-42m (111)



Most stable to least stable: Q, P



P:
An optimized crystal structure of LiFeAsO4. Source: Alexandria via LeMat-Bulk, functional GGA+U.

Geometry as POSCAR:
```
LiFeAsO4
1.0
-6.019 -0.267 0.383
-2.713 -5.078 1.405
-2.666 -0.612 5.258
Li Fe As O
2 2 2 8
direct
0.000 0.000 0.000
0.000 0.500 0.500
0.500 0.000 0.500
0.000 0.000 0.500
0.620 0.630 0.130
0.380 0.370 0.870
0.745 0.745 0.766
0.255 0.734 0.755
0.745 0.266 0.245
0.255 0.255 0.234
0.267 0.745 0.245
0.742 0.745 0.245
0.258 0.255 0.755
0.733 0.255 0.755
```

Properties
spin magnetization: 4.0 μB/f.u.
space group: Imma (74)



Q:
An optimized crystal structure of LiFeAsO4. Source: Alexandria via LeMat-Bulk, functional GGA+U.

Geometry as POSCAR:
```
LiFeAsO4
1.0
-0.474 4.913 -0.431
-2.968 0.188 5.402
9.357 1.348 5.093
Li Fe As O
4 4 4 16
direct
0.000 0.000 0.000
0.500 0.000 0.500
0.000 0.500 0.000
0.500 0.500 0.500
0.514 0.250 0.777
0.986 0.250 0.277
0.014 0.750 0.723
0.486 0.750 0.223
0.567 0.750 0.907
0.067 0.250 0.593
0.433 0.250 0.093
0.933 0.750 0.407
0.222 0.750 0.906
0.722 0.250 0.594
0.778 0.250 0.094
0.278 0.750 0.406
0.789 0.750 0.553
0.289 0.250 0.947
0.211 0.250 0.447
0.711 0.750 0.053
0.720 0.967 0.831
0.220 0.033 0.669
0.280 0.467 0.169
0.780 0.533 0.331
0.280 0.033 0.169
0.780 0.967 0.331
0.720 0.533 0.831
0.220 0.467 0.669
```

Properties
spin magnetization: 4.0 μB/f.u.
space group: Pnma (62)



Most stable to least stable: Q, P